Here is a crystal of K3BeF5 relaxed with PBEsol from Alexandria via LeMat-Bulk. Energies are from meta-GGA SCAN.

a b c (Å): 7.0749 7.3393 7.0749
angles (deg): 61.18 90.00 118.82
Last column: magnetic moment on the atom in μB.
Fractional coordinates of all 18 atoms:
F 0.5000 0.0000 0.5000  0.07
F 0.2893 0.3277 0.2107  0.00
F 0.0384 0.3277 0.4616  0.00
F 0.7107 0.6723 0.7893  0.00
F 0.2107 0.6723 0.0384  0.00
F 0.4616 0.6723 0.2893  0.00
F 0.5384 0.3277 0.7107  0.00
F 0.9616 0.6723 0.5384  0.00
F 0.0000 0.0000 0.0000  0.07
F 0.7893 0.3277 0.9616  0.00
K 0.7500 0.5000 0.2500  0.00
K 0.1795 0.0000 0.6795  0.00
K 0.2500 0.5000 0.7500  0.00
K 0.8205 0.0000 0.3205  0.00
K 0.3205 0.0000 0.1795  0.00
K 0.6795 0.0000 0.8205  0.00
Be 0.7500 0.5000 0.7500  0.00
Be 0.2500 0.5000 0.2500  0.00

Values from the calculation:
ρ   2.734 g/cm³
Space-group type   I4/mcm
Raw formation energy   -3208 meV/atom

Here is a crystal of BeB2PtSe relaxed with PBEsol from Alexandria via LeMat-Bulk. Energies are from meta-GGA SCAN.

a b c (Å): 3.6127 3.6127 4.9123
angles (deg): 90.00 90.00 90.00
Fractional coordinates of all 5 atoms:
B 0.0000 0.5000 0.0000
B 0.5000 0.0000 0.0000
Se 0.0000 0.0000 0.5000
Be 0.0000 0.0000 0.0000
Pt 0.5000 0.5000 0.5000

Values from the calculation:
ρ   7.891 g/cm³
Space-group type   P4/mmm
Raw formation energy   1165 meV/atom

Here is a crystal of SrBe2TcNi relaxed with PBEsol from Alexandria via LeMat-Bulk. Energies are from meta-GGA SCAN.

a b c (Å): 4.1675 4.1675 4.9640
angles (deg): 90.00 90.00 90.00
Last column: magnetic moment on the atom in μB.
Fractional coordinates of all 5 atoms:
Be 0.5000 0.0000 0.0000  -0.07
Be 0.0000 0.5000 0.0000  -0.07
Tc 0.5000 0.5000 0.5000  2.93
Ni 0.0000 0.0000 0.0000  0.17
Sr 0.0000 0.0000 0.5000  0.02

Values from the calculation:
Formation enthalpy at 0 K   1112 meV per atom
ρ   5.053 g/cm³
Space-group type   P4/mmm

Here is a crystal of ZrFe2W relaxed with PBEsol from Alexandria via LeMat-Bulk. Energies are from meta-GGA SCAN.

a b c (Å): 3.0570 3.0570 6.2215
angles (deg): 90.00 90.00 90.00
Last column: magnetic moment on the atom in μB.
Fractional coordinates of all 4 atoms:
Zr 0.5000 0.5000 0.7688  -0.28
Fe 0.0000 0.0000 0.0317  2.37
Fe 0.5000 0.5000 0.2421  2.11
W 0.0000 0.0000 0.4574  -0.47

Values from the calculation:
Formation enthalpy at 0 K   96 meV per atom
ρ   11.046 g/cm³
Space-group type   P4mm

Here is a crystal of YNb2TcP relaxed with PBEsol from Alexandria via LeMat-Bulk. Energies are from meta-GGA SCAN.

a b c (Å): 4.4504 4.6754 4.6754
angles (deg): 90.00 90.00 90.00
Fractional coordinates of all 5 atoms:
Nb 0.0000 0.5000 0.0000
Nb 0.0000 0.0000 0.5000
P 0.0000 0.0000 0.0000
Y 0.5000 0.5000 0.5000
Tc 0.5000 0.0000 0.0000

Values from the calculation:
Formation enthalpy at 0 K   -25 meV per atom
ρ   6.891 g/cm³
Space-group type   P4/mmm

Here is a crystal of KSr2H2 relaxed with PBEsol from Alexandria via LeMat-Bulk. Energies are from meta-GGA SCAN.

a b c (Å): 4.6188 8.5309 8.5309
angles (deg): 90.00 90.00 90.00
Fractional coordinates of all 10 atoms:
H 0.0000 0.7311 0.7689
H 0.0000 0.7689 0.2689
H 0.0000 0.2689 0.2311
H 0.0000 0.2311 0.7311
Sr 0.5000 0.6746 0.8254
Sr 0.5000 0.3254 0.1746
Sr 0.5000 0.8254 0.3254
Sr 0.5000 0.1746 0.6746
K 0.0000 0.0000 0.0000
K 0.0000 0.5000 0.5000

Values from the calculation:
ρ   2.138 g/cm³
Space-group type   P4/mbm
E above lowest polymorph   325.6 meV per atom

Here is a crystal of LiCoSb2 relaxed with PBEsol from Alexandria via LeMat-Bulk. Energies are from meta-GGA SCAN.

a b c (Å): 3.5252 4.4264 4.4290
angles (deg): 90.00 90.00 90.00
Last column: magnetic moment on the atom in μB.
Fractional coordinates of all 4 atoms:
Sb 0.0000 0.0000 0.0000  0.00
Sb 0.0000 0.5000 0.5000  0.00
Li 0.5000 0.0000 0.5000  0.00
Co 0.5000 0.5000 0.0000  1.47

Values from the calculation:
ρ   7.434 g/cm³
Space-group type   P4/mmm
Raw formation energy   117 meV/atom
E above lowest polymorph   155.2 meV per atom

Here is a crystal of TcSbH2 relaxed with PBEsol from Alexandria via LeMat-Bulk. Energies are from meta-GGA SCAN.

a b c (Å): 3.2213 3.2213 4.8597
angles (deg): 109.36 109.36 90.00
Fractional coordinates of all 4 atoms:
H 0.6212 0.1212 0.2425
H 0.1212 0.6212 0.2425
Sb 0.3915 0.3915 0.7831
Tc 0.7125 0.7125 0.4250

Values from the calculation:
Calculated total energy   -79.5 eV per cell
ρ   8.267 g/cm³
Space-group type   I4mm

Here is a crystal of Li2CaZn relaxed with PBEsol from Alexandria via LeMat-Bulk. Energies are from meta-GGA SCAN.

a b c (Å): 4.3497 4.3497 5.4167
angles (deg): 113.67 113.67 90.00
Fractional coordinates of all 4 atoms:
Zn 0.5000 0.5000 0.0000
Li 0.7500 0.2500 0.5000
Li 0.2500 0.7500 0.5000
Ca 0.0000 0.0000 0.0000

Values from the calculation:
Formation enthalpy at 0 K   -61 meV per atom
ρ   2.350 g/cm³
Space-group type   I4/mmm

Here is a crystal of ZrOsW relaxed with PBEsol from Alexandria via LeMat-Bulk. Energies are from meta-GGA SCAN.

a b c (Å): 3.1905 3.1905 5.4279
angles (deg): 107.09 107.09 90.00
Fractional coordinates of all 3 atoms:
Os 0.0072 0.0072 0.0143
Zr 0.3349 0.3349 0.6698
W 0.6579 0.6579 0.3158

Values from the calculation:
Formation enthalpy at 0 K   -76 meV per atom
ρ   15.375 g/cm³
Space-group type   I4mm
E above lowest polymorph   0.0 meV per atom

Here is a crystal of NiIr2Os relaxed with PBEsol from Alexandria via LeMat-Bulk. Energies are from meta-GGA SCAN.

a b c (Å): 2.6798 3.7364 5.2884
angles (deg): 90.00 90.00 90.00
Fractional coordinates of all 4 atoms:
Ir 0.5000 0.5000 0.2629
Ir 0.0000 0.0000 0.9907
Os 0.5000 0.5000 0.7440
Ni 0.0000 0.0000 0.5023

Values from the calculation:
Formation enthalpy at 0 K   57 meV per atom
ρ   19.862 g/cm³
Space-group type   Pmm2
E above lowest polymorph   64.4 meV per atom

Here is a crystal of BaCrF5 relaxed with PBEsol from Alexandria via LeMat-Bulk. Energies are from meta-GGA SCAN.

a b c (Å): 4.8999 5.6756 13.8590
angles (deg): 90.00 90.00 90.00
Last column: magnetic moment on the atom in μB.
Fractional coordinates of all 28 atoms:
F 0.6930 0.0993 0.3387  0.02
F 0.9880 0.6278 0.0020  0.02
F 0.5261 0.3951 0.9862  0.02
F 0.9739 0.6049 0.4862  0.02
F 0.0261 0.1049 0.0138  0.02
F 0.0120 0.1278 0.4980  0.02
F 0.4880 0.8722 0.9980  0.02
F 0.3746 0.6514 0.8309  0.01
F 0.4739 0.8951 0.5138  0.02
F 0.1254 0.3486 0.3309  0.01
F 0.8070 0.9007 0.8387  0.02
F 0.8746 0.8486 0.1691  0.01
F 0.3289 0.0729 0.1707  0.02
F 0.6254 0.1514 0.6691  0.01
F 0.8289 0.4271 0.8293  0.02
F 0.1711 0.9271 0.6707  0.02
F 0.3070 0.5993 0.1613  0.02
F 0.6711 0.5729 0.3293  0.02
F 0.5120 0.3722 0.5020  0.02
F 0.1930 0.4007 0.6613  0.02
Ba 0.2261 0.8402 0.3417  0.00
Ba 0.7739 0.3402 0.1583  0.00
Ba 0.2739 0.1598 0.8417  0.00
Ba 0.7261 0.6598 0.6583  0.00
Cr 0.3255 0.1473 0.5843  2.82
Cr 0.8255 0.3527 0.4157  2.82
Cr 0.1745 0.8527 0.0843  2.82
Cr 0.6745 0.6473 0.9157  2.82

Values from the calculation:
ρ   4.900 g/cm³
Space-group type   P2_12_12_1
Raw formation energy   -3630 meV/atom